Computed, not measured: crystalline PmNiBi2O6 at its relaxed geometry at the PBE with a Hubbard U level of DFT.

Unit cell a=5.8036 b=5.8070 c=6.1049 alpha=61.63 beta=61.63 gamma=60.05
Closest atoms and distances in Å follow each position.
Atoms (fractional coordinates):
O (0.4101, 0.6949, 0.7629)  1 Ni 2.17, 1 Pm 2.28, 2 Bi 2.30-2.43
O (0.9571, 0.6041, 0.2439)  1 Ni 2.16, 2 Bi 2.29-2.37
O (0.1952, 0.9572, 0.2436)  1 Ni 2.16, 2 Bi 2.29-2.38
O (0.6948, 0.1325, 0.7625)  1 Ni 2.17, 1 Pm 2.28, 2 Bi 2.30-2.42
O (0.6043, 0.1947, 0.2437)  1 Ni 2.16, 2 Bi 2.29-2.37
O (0.1315, 0.4103, 0.7634)  1 Ni 2.17, 1 Pm 2.28, 2 Bi 2.30-2.43
Ni (0.3190, 0.3190, 0.0430)  6 O 2.16-2.17
Pm (0.8027, 0.8026, 0.5923)  6 O 2.28-2.48
Bi (0.0171, 0.0170, 0.9489)  6 O 2.29-2.30
Bi (0.5297, 0.5293, 0.4112)  6 O 2.37-2.43

Calculated values
For the raw total energy, the calculation gives -6.07 eV/atom. Its space group is P1, No. 1.